A plane-wave DFT calculation with PBE was carried out for SrHf2P2 after structural relaxation.

Results
density of states at the Fermi level: 0.6074 states/eV per atom
M_tot: 0.0 μB/f.u.
uncorrected energy: -71.2 eV/cell
E above lowest polymorph: 35 meV per atom
energy relative to the elements: -0.64 eV/atom

```
data_SrHf2P2
_cell_length_a 4.862
_cell_length_b 4.862
_cell_length_c 10.009
_cell_angle_alpha 90.00
_cell_angle_beta 90.00
_cell_angle_gamma 90.00
_space_group_name_H-M_alt 'I 4/m m m'
_space_group_IT_number 139
_space_group_name_Hall '-I 4 2'
loop_
_atom_site_label
_atom_site_fract_x
_atom_site_fract_y
_atom_site_fract_z
_atom_site_occupancy
Sr1 0.000 0.000 0.000 1
Hf1 0.000 0.000 0.343 1
P1 0.000 0.500 0.250 1
```